! Tm4ThIn | Alexandria via LeMat-Bulk | PBE | optimized geometry; values from VASP
! - space-group type = P4/mmm, No. 123
! - energy above the lowest structure with this stoichiometry (eV/atom) = 0.0000
&SYSTEM
  ibrav = 0, nat = 6, ntyp = 3
/
ATOMIC_SPECIES
Tm 168.93 Tm.upf
In 114.82 In.upf
Th 232.04 Th.upf
ATOMIC_POSITIONS angstrom
Tm 1.773 1.773 2.422
Tm 0.000 0.000 9.050
Tm 0.000 0.000 4.932
Tm 1.773 1.773 11.560
In 1.773 1.773 6.991
Th 0.000 0.000 0.000
CELL_PARAMETERS angstrom
3.546 0.000 0.000
0.000 3.546 0.000
0.000 0.000 13.982


! Tm12ThIn3 | Alexandria via LeMat-Bulk | PBE | optimized geometry; values from VASP
! - space-group type = P4/mmm, No. 123
! - uncorrected energy (eV/cell) = -72.06
&SYSTEM
  ibrav = 0, nat = 16, ntyp = 3
/
ATOMIC_SPECIES
Tm 168.93 Tm.upf
Th 232.04 Th.upf
In 114.82 In.upf
ATOMIC_POSITIONS angstrom
Tm -1.905 -13.366 6.243
Tm -3.482 -10.458 5.574
Tm 0.772 -2.155 -2.521
Tm 1.547 -3.034 0.768
Tm -0.225 -10.456 6.570
Tm -1.026 -9.685 3.365
Tm -1.710 -3.035 -0.229
Tm -0.147 -6.004 0.488
Tm -2.599 -6.758 2.682
Tm -1.114 -14.179 9.481
Tm 0.658 -6.757 3.678
Tm -4.371 -14.180 8.484
Th 0.000 0.000 0.000
In -0.921 -3.856 3.014
In -2.675 -11.203 8.759
In -1.798 -7.530 5.887
CELL_PARAMETERS angstrom
-2.484 -2.157 -3.518
4.029 -2.154 -1.525
-3.596 -15.059 11.773


! Tm3ThIn | Alexandria via LeMat-Bulk | PBE | optimized geometry; values from VASP
! - space-group type = Cmcm, No. 63
! - energy above the lowest structure with this stoichiometry (eV/atom) = 0.0000
&SYSTEM
  ibrav = 0, nat = 10, ntyp = 3
/
ATOMIC_SPECIES
Tm 168.93 Tm.upf
In 114.82 In.upf
Th 232.04 Th.upf
ATOMIC_POSITIONS angstrom
Tm 5.480 10.603 -1.124
Tm 0.844 2.935 3.138
Tm 5.704 4.696 0.075
Tm 3.128 6.712 1.039
Tm 7.015 11.220 1.859
Tm 3.351 0.805 2.237
In 4.051 4.139 3.089
In 3.809 10.016 1.908
Th 2.463 3.435 0.155
Th 6.369 7.973 0.958
CELL_PARAMETERS angstrom
-0.972 2.747 3.884
4.124 -1.378 2.007
5.338 11.005 -3.412


! TmThIn2 | Alexandria via LeMat-Bulk | PBE | optimized geometry; values from VASP
! - space-group type = P4/mmm, No. 123
! - uncorrected energy (eV/cell) = -18.79
&SYSTEM
  ibrav = 0, nat = 4, ntyp = 3
/
ATOMIC_SPECIES
In 114.82 In.upf
Th 232.04 Th.upf
Tm 168.93 Tm.upf
ATOMIC_POSITIONS angstrom
In 0.000 0.000 2.070
In 0.000 0.000 6.648
Th 1.766 1.766 4.359
Tm 1.766 1.766 0.000
CELL_PARAMETERS angstrom
3.532 0.000 0.000
0.000 3.532 0.000
0.000 0.000 8.718


! TmTh2In | Alexandria via LeMat-Bulk | PBE | optimized geometry; values from VASP
! - space-group type = P2_1/m, No. 11
! - energy above the lowest structure with this stoichiometry (eV/atom) = 0.0789
&SYSTEM
  ibrav = 0, nat = 8, ntyp = 3
/
ATOMIC_SPECIES
In 114.82 In.upf
Th 232.04 Th.upf
Tm 168.93 Tm.upf
ATOMIC_POSITIONS angstrom
In 2.373 3.516 7.378
In 0.016 1.172 3.793
Th 2.383 1.172 9.799
Th 0.006 3.516 1.373
Th 0.030 3.516 9.791
Th 2.359 1.172 1.380
Tm 2.371 3.516 4.313
Tm 0.018 1.172 6.859
CELL_PARAMETERS angstrom
4.705 0.000 -0.019
0.000 4.688 0.000
-2.316 0.000 11.191


! Tm2ThIn | Alexandria via LeMat-Bulk | PBE | optimized geometry; values from VASP
! - space-group type = Fm-3m, No. 225
! - energy above the lowest structure with this stoichiometry (eV/atom) = 0.2369
&SYSTEM
  ibrav = 0, nat = 4, ntyp = 3
/
ATOMIC_SPECIES
In 114.82 In.upf
Tm 168.93 Tm.upf
Th 232.04 Th.upf
ATOMIC_POSITIONS angstrom
In 0.000 0.000 0.000
Tm -3.015 0.669 1.228
Tm -9.045 2.008 3.685
Th -6.030 1.339 2.457
CELL_PARAMETERS angstrom
-5.333 -0.198 -0.990
-3.473 -1.047 4.038
-3.254 3.923 1.866


! Tm4ThIn3 | Alexandria via LeMat-Bulk | PBE | optimized geometry; values from VASP
! - space-group type = P4/mmm, No. 123
! - uncorrected energy (eV/cell) = -36.18
&SYSTEM
  ibrav = 0, nat = 8, ntyp = 3
/
ATOMIC_SPECIES
In 114.82 In.upf
Tm 168.93 Tm.upf
Th 232.04 Th.upf
ATOMIC_POSITIONS angstrom
In 1.775 1.775 4.452
In 1.775 1.775 12.663
In 1.775 1.775 8.558
Tm 0.000 0.000 14.717
Tm 0.000 0.000 10.604
Tm 0.000 0.000 2.398
Tm 0.000 0.000 6.512
Th 1.775 1.775 0.000
CELL_PARAMETERS angstrom
3.549 0.000 0.000
0.000 3.549 0.000
0.000 0.000 17.116


! TmThIn2 | Alexandria via LeMat-Bulk | PBE | optimized geometry; values from VASP
! - space-group type = P4/mmm, No. 123
! - uncorrected energy (eV/cell) = -18.69
&SYSTEM
  ibrav = 0, nat = 4, ntyp = 3
/
ATOMIC_SPECIES
In 114.82 In.upf
Tm 168.93 Tm.upf
Th 232.04 Th.upf
ATOMIC_POSITIONS angstrom
In 0.000 0.000 2.463
In 0.000 2.463 0.000
Tm 2.268 0.000 0.000
Th 2.268 2.463 2.463
CELL_PARAMETERS angstrom
4.537 0.000 0.000
0.000 4.927 0.000
0.000 0.000 4.927


! Tm3Th2In4 | Alexandria via LeMat-Bulk | PBE | optimized geometry; values from VASP
! - space-group type = Cmce, No. 64
! - uncorrected energy (eV/cell) = -82.45
&SYSTEM
  ibrav = 0, nat = 18, ntyp = 3
/
ATOMIC_SPECIES
Th 232.04 Th.upf
Tm 168.93 Tm.upf
In 114.82 In.upf
ATOMIC_POSITIONS angstrom
Th 2.890 -4.647 6.342
Th -3.253 -6.651 5.082
Th 5.245 -3.196 2.795
Th -0.898 -5.200 1.535
Tm 1.605 -2.805 3.391
Tm -3.063 -2.765 3.781
Tm 1.375 -8.126 1.392
Tm 0.616 -1.720 6.486
Tm 0.000 0.000 0.000
Tm 0.386 -7.042 4.486
In 2.897 -8.181 5.687
In 3.886 -9.265 2.593
In -0.718 -4.266 5.056
In -1.894 -0.582 5.285
In 2.710 -5.581 2.821
In -0.906 -1.666 2.190
In 3.416 -1.351 5.355
In -1.424 -8.495 2.522
CELL_PARAMETERS angstrom
-1.977 2.169 6.190
-4.148 -7.698 1.372
8.117 -4.318 0.315


! Tm2ThIn | Alexandria via LeMat-Bulk | PBE | optimized geometry; values from VASP
! - space-group type = P4/mmm, No. 123
! - energy above the lowest structure with this stoichiometry (eV/atom) = 0.0000
&SYSTEM
  ibrav = 0, nat = 4, ntyp = 3
/
ATOMIC_SPECIES
Tm 168.93 Tm.upf
In 114.82 In.upf
Th 232.04 Th.upf
ATOMIC_POSITIONS angstrom
Tm -0.965 -3.583 5.851
Tm -0.290 -1.077 1.759
In -1.738 -1.401 -1.145
Th -2.365 -3.731 2.660
CELL_PARAMETERS angstrom
-3.513 0.226 -0.441
0.037 -3.028 -1.848
-1.255 -4.660 7.610


! TmTh2In2 | Alexandria via LeMat-Bulk | PBE | optimized geometry; values from VASP
! - space-group type = Immm, No. 71
! - uncorrected energy (eV/cell) = -25.85
&SYSTEM
  ibrav = 0, nat = 5, ntyp = 3
/
ATOMIC_SPECIES
In 114.82 In.upf
Th 232.04 Th.upf
Tm 168.93 Tm.upf
ATOMIC_POSITIONS angstrom
In -3.232 2.921 5.230
In -4.390 0.190 5.198
Th -1.840 0.744 3.092
Th -5.783 2.366 7.336
Tm 0.000 0.000 0.000
CELL_PARAMETERS angstrom
-4.417 1.865 0.725
-2.936 -2.521 4.815
-0.270 3.767 4.889


! Tm2Th3In7 | Alexandria via LeMat-Bulk | PBE | optimized geometry; values from VASP
! - space-group type = Cmmm, No. 65
! - uncorrected energy (eV/cell) = -51.70
&SYSTEM
  ibrav = 0, nat = 12, ntyp = 3
/
ATOMIC_SPECIES
In 114.82 In.upf
Th 232.04 Th.upf
Tm 168.93 Tm.upf
ATOMIC_POSITIONS angstrom
In 0.000 2.407 2.382
In 2.430 2.407 12.718
In 0.000 0.000 12.731
In 0.000 0.000 0.000
In 0.000 2.407 6.852
In 2.430 0.000 2.394
In 0.000 0.000 8.260
Th 2.430 2.407 4.589
Th 2.430 2.407 0.000
Th 2.430 0.000 10.524
Tm 0.000 2.407 10.326
Tm 0.000 0.000 4.786
CELL_PARAMETERS angstrom
4.859 0.000 0.000
0.000 4.813 0.000
0.000 -2.407 15.112


! Tm2ThIn | Alexandria via LeMat-Bulk | PBE | optimized geometry; values from VASP
! - space-group type = P4/mmm, No. 123
! - energy above the lowest structure with this stoichiometry (eV/atom) = 0.0447
&SYSTEM
  ibrav = 0, nat = 4, ntyp = 3
/
ATOMIC_SPECIES
Th 232.04 Th.upf
Tm 168.93 Tm.upf
In 114.82 In.upf
ATOMIC_POSITIONS angstrom
Th -1.713 -0.853 3.733
Tm -0.172 1.556 1.871
Tm 0.730 -1.756 1.528
In -2.271 -0.653 0.334
CELL_PARAMETERS angstrom
-4.542 -1.306 0.668
1.459 -3.512 3.056
-0.345 3.113 3.742


! TmTh2In | Alexandria via LeMat-Bulk | PBE | optimized geometry; values from VASP
! - space-group type = P2_1/m, No. 11
! - energy above the lowest structure with this stoichiometry (eV/atom) = 0.1260
&SYSTEM
  ibrav = 0, nat = 8, ntyp = 3
/
ATOMIC_SPECIES
In 114.82 In.upf
Th 232.04 Th.upf
Tm 168.93 Tm.upf
ATOMIC_POSITIONS angstrom
In 4.283 5.771 3.911
In 1.428 0.761 2.618
Th 4.283 2.934 5.822
Th 4.283 5.466 0.488
Th 1.428 1.066 6.041
Th 1.428 3.598 0.707
Tm 1.428 4.001 4.079
Tm 4.283 2.530 2.450
CELL_PARAMETERS angstrom
5.711 0.000 0.000
0.000 6.027 -0.329
0.000 0.505 6.857


! Tm5ThIn4 | Alexandria via LeMat-Bulk | PBE | optimized geometry; values from VASP
! - space-group type = P4/mmm, No. 123
! - uncorrected energy (eV/cell) = -44.32
&SYSTEM
  ibrav = 0, nat = 10, ntyp = 3
/
ATOMIC_SPECIES
Tm 168.93 Tm.upf
In 114.82 In.upf
Th 232.04 Th.upf
ATOMIC_POSITIONS angstrom
Tm 1.744 1.744 2.452
Tm 1.744 1.744 15.165
Tm 1.744 1.744 6.690
Tm 1.744 1.744 19.403
Tm 1.744 1.744 10.928
In 0.000 0.000 13.046
In 0.000 0.000 17.288
In 0.000 0.000 4.567
In 0.000 0.000 8.809
Th 0.000 0.000 0.000
CELL_PARAMETERS angstrom
3.488 0.000 0.000
0.000 3.488 0.000
0.000 0.000 21.855


! TmThIn4 | Alexandria via LeMat-Bulk | PBE | optimized geometry; values from VASP
! - space-group type = F-43m, No. 216
! - uncorrected energy (eV/cell) = -24.28
&SYSTEM
  ibrav = 0, nat = 6, ntyp = 3
/
ATOMIC_SPECIES
Tm 168.93 Tm.upf
Th 232.04 Th.upf
In 114.82 In.upf
ATOMIC_POSITIONS angstrom
Tm 1.011 -3.288 -1.351
Th 0.000 0.000 0.000
In 3.058 -5.252 -3.464
In 2.526 -8.218 -3.376
In 0.244 -6.269 -3.095
In 2.257 -6.564 -0.870
CELL_PARAMETERS angstrom
-1.064 -5.937 0.176
0.538 -3.312 -5.016
4.568 -3.902 -0.563


! Tm6ThIn5 | Alexandria via LeMat-Bulk | PBE | optimized geometry; values from VASP
! - space-group type = Immm, No. 71
! - uncorrected energy (eV/cell) = -51.99
&SYSTEM
  ibrav = 0, nat = 12, ntyp = 3
/
ATOMIC_SPECIES
Tm 168.93 Tm.upf
Th 232.04 Th.upf
In 114.82 In.upf
ATOMIC_POSITIONS angstrom
Tm 3.322 4.173 2.553
Tm 0.305 3.206 1.091
Tm 3.882 0.583 4.422
Tm 2.067 2.087 -1.780
Tm -0.255 6.796 -0.778
Tm 1.531 5.521 -3.568
Th 0.000 0.000 0.000
In 0.672 6.266 2.390
In 2.453 5.083 -0.414
In 1.174 2.296 4.057
In 2.956 1.114 1.253
In -0.592 3.794 -1.976
CELL_PARAMETERS angstrom
4.782 0.020 -1.395
-1.184 7.589 -3.952
0.030 -0.229 8.991


! Tm2Th2In3 | Alexandria via LeMat-Bulk | PBE | optimized geometry; values from VASP
! - space-group type = C2/m, No. 12
! - energy above the lowest structure with this stoichiometry (eV/atom) = 0.0160
&SYSTEM
  ibrav = 0, nat = 7, ntyp = 3
/
ATOMIC_SPECIES
In 114.82 In.upf
Th 232.04 Th.upf
Tm 168.93 Tm.upf
ATOMIC_POSITIONS angstrom
In -0.005 2.667 6.440
In 0.000 0.000 0.000
In 1.954 1.813 1.322
Th -0.005 0.732 3.743
Th 1.955 3.748 4.018
Tm 0.009 4.265 0.830
Tm 1.940 0.215 6.932
CELL_PARAMETERS angstrom
3.904 -0.011 0.006
-1.934 6.055 -1.102
-0.020 -1.564 8.857


! TmThIn3 | Alexandria via LeMat-Bulk | PBE | optimized geometry; values from VASP
! - space-group type = Cmcm, No. 63
! - uncorrected energy (eV/cell) = -41.76
&SYSTEM
  ibrav = 0, nat = 10, ntyp = 3
/
ATOMIC_SPECIES
Th 232.04 Th.upf
In 114.82 In.upf
Tm 168.93 Tm.upf
ATOMIC_POSITIONS angstrom
Th 0.000 1.382 3.214
Th 3.112 4.147 5.053
In 0.000 0.000 0.000
In 1.478 1.382 6.073
In 1.634 4.147 2.193
In 0.000 2.765 0.000
In 4.590 4.147 2.193
In -1.478 1.382 6.073
Tm 3.112 1.382 1.136
Tm 0.000 4.147 7.130
CELL_PARAMETERS angstrom
6.223 0.000 0.000
0.000 5.530 0.000
-3.112 0.000 8.266


! Tm4ThIn5 | Alexandria via LeMat-Bulk | PBE | optimized geometry; values from VASP
! - space-group type = P4/mmm, No. 123
! - uncorrected energy (eV/cell) = -42.95
&SYSTEM
  ibrav = 0, nat = 10, ntyp = 3
/
ATOMIC_SPECIES
In 114.82 In.upf
Tm 168.93 Tm.upf
Th 232.04 Th.upf
ATOMIC_POSITIONS angstrom
In 1.775 1.775 6.357
In 1.775 1.775 14.508
In 1.775 1.775 10.432
In 1.775 1.775 18.583
In 1.775 1.775 2.282
Tm 0.000 0.000 16.555
Tm 0.000 0.000 8.392
Tm 0.000 0.000 4.309
Tm 0.000 0.000 12.472
Th 0.000 0.000 0.000
CELL_PARAMETERS angstrom
3.550 0.000 0.000
0.000 3.550 0.000
0.000 0.000 20.864


! TmTh2In | Alexandria via LeMat-Bulk | PBE | optimized geometry; values from VASP
! - space-group type = R3m, No. 160
! - energy above the lowest structure with this stoichiometry (eV/atom) = 0.1630
&SYSTEM
  ibrav = 0, nat = 4, ntyp = 3
/
ATOMIC_SPECIES
Th 232.04 Th.upf
In 114.82 In.upf
Tm 168.93 Tm.upf
ATOMIC_POSITIONS angstrom
Th 1.751 1.011 2.952
Th 1.751 1.011 8.545
In 3.503 2.022 5.735
Tm 3.503 2.022 0.016
CELL_PARAMETERS angstrom
3.503 0.000 0.000
1.751 3.034 0.000
1.751 1.011 11.498


! TmThIn | Alexandria via LeMat-Bulk | PBE | optimized geometry; values from VASP
! - space-group type = P4/nmm, No. 129
! - energy above the lowest structure with this stoichiometry (eV/atom) = 0.0820
&SYSTEM
  ibrav = 0, nat = 6, ntyp = 3
/
ATOMIC_SPECIES
In 114.82 In.upf
Th 232.04 Th.upf
Tm 168.93 Tm.upf
ATOMIC_POSITIONS angstrom
In 2.301 0.000 6.084
In 0.000 2.301 2.455
Th 0.000 0.000 0.000
Th 2.301 2.301 0.000
Tm 0.000 2.301 5.566
Tm 2.301 0.000 2.972
CELL_PARAMETERS angstrom
4.603 0.000 0.000
0.000 4.603 0.000
0.000 0.000 8.539


! Tm4ThIn | Alexandria via LeMat-Bulk | PBE | optimized geometry; values from VASP
! - space-group type = I4_1md, No. 109
! - energy above the lowest structure with this stoichiometry (eV/atom) = 0.7166
&SYSTEM
  ibrav = 0, nat = 12, ntyp = 3
/
ATOMIC_SPECIES
Tm 168.93 Tm.upf
In 114.82 In.upf
Th 232.04 Th.upf
ATOMIC_POSITIONS angstrom
Tm -1.764 0.903 6.088
Tm -0.912 2.370 2.058
Tm 3.389 1.589 1.971
Tm -4.216 4.522 6.001
Tm 2.559 0.119 5.980
Tm -3.376 6.009 1.951
Tm 0.108 3.739 6.109
Tm 0.925 5.228 2.079
In 1.138 1.746 0.000
In -3.163 2.526 4.030
Th 3.604 -1.850 4.030
Th 3.003 4.608 0.000
CELL_PARAMETERS angstrom
8.602 -1.562 0.000
-4.902 7.239 0.000
-1.850 -2.839 8.059


! YTmThIn | Alexandria via LeMat-Bulk | PBE | optimized geometry; values from VASP
! - space-group type = F-43m, No. 216
! - uncorrected energy (eV/cell) = -21.18
&SYSTEM
  ibrav = 0, nat = 4, ntyp = 4
/
ATOMIC_SPECIES
In 114.82 In.upf
Tm 168.93 Tm.upf
Y 88.91 Y.upf
Th 232.04 Th.upf
ATOMIC_POSITIONS angstrom
In 5.459 3.152 2.229
Tm 2.730 1.576 1.114
Y 8.189 4.728 3.343
Th 0.000 0.000 0.000
CELL_PARAMETERS angstrom
5.459 0.000 0.000
2.730 4.728 0.000
2.730 1.576 4.458


! Tm2ThZn2In2 | Alexandria via LeMat-Bulk | PBE | optimized geometry; values from VASP
! - space-group type = R-3m, No. 166
! - uncorrected energy (eV/cell) = -25.83
&SYSTEM
  ibrav = 0, nat = 7, ntyp = 4
/
ATOMIC_SPECIES
Zn 65.41 Zn.upf
Tm 168.93 Tm.upf
Th 232.04 Th.upf
In 114.82 In.upf
ATOMIC_POSITIONS angstrom
Zn 4.666 2.694 1.762
Zn 4.666 2.694 7.603
Tm 2.333 1.347 5.734
Tm 6.999 4.041 3.631
Th 0.000 0.000 0.000
In 2.333 1.347 2.170
In 6.999 4.041 7.195
CELL_PARAMETERS angstrom
4.666 0.000 0.000
2.333 4.041 0.000
2.333 1.347 9.365